Cs2MgNi3F12, relaxed, DFT PBE with a Hubbard U; DOS at the Fermi energy = 6.88 states/eV/f.u.; electronic total energy = -76.13 eV/cell
1.0
3.653 2.109 5.981
-3.653 2.109 5.981
0.000 -4.218 5.981
Cs Mg Ni F
2 1 3 12
Direct
0.127 0.127 0.127
0.873 0.873 0.873
0.500 0.500 0.500
0.000 0.500 0.500
0.500 0.000 0.500
0.500 0.500 0.000
0.176 0.568 0.568
0.182 0.182 0.570
0.182 0.570 0.182
0.430 0.818 0.818
0.432 0.432 0.824
0.432 0.824 0.432
0.568 0.176 0.568
0.568 0.568 0.176
0.570 0.182 0.182
0.818 0.430 0.818
0.818 0.818 0.430
0.824 0.432 0.432